The following is a DFT calculation (GGA-PBE) of an optimized crystal structure of VRuCl2.

Cell and atoms, written as POSCAR:
```
VRuCl2
1.0
-5.471 0.433 5.851
-3.107 1.714 7.195
-4.888 3.348 5.408
Ru V Cl
1 1 2
Direct
0.000 0.000 0.000
0.500 0.500 0.500
0.903 0.903 0.903
0.097 0.097 0.097
```

Computed properties:
relative energy among the computed polymorphs = 0.000 eV/f.u.
energy = -5.526 eV per atom